#i
Here is a relaxed Pa3N4 crystal from Alexandria via LeMat-Bulk. Energies are from PBE-GGA.

```
Pa3N4
1.0
11.8793 0.0000 0.0000
0.0000 3.5284 0.0000
-2.8558 0.0000 5.3249
Pa N
6 8
Direct
0.0000 0.0000 0.0000 Pa
0.1949 0.5000 0.6974 Pa
0.3051 0.0000 0.3026 Pa
0.5000 0.5000 0.0000 Pa
0.6949 0.0000 0.6974 Pa
0.8051 0.5000 0.3026 Pa
0.1373 0.0000 0.4248 N
0.1488 0.5000 0.0253 N
0.3512 0.0000 0.9747 N
0.3627 0.5000 0.5752 N
0.6373 0.5000 0.4248 N
0.6488 0.0000 0.0253 N
0.8512 0.5000 0.9747 N
0.8627 0.0000 0.5752 N
```

Computed properties:
**SG**: C2/m (12)

***

#ii
Here is a relaxed Pa3N4 crystal from Alexandria via LeMat-Bulk. Energies are from PBE-GGA.

```
Pa3N4
1.0
-3.6367 3.6367 3.6367
3.6367 -3.6367 3.6367
3.6367 3.6367 -3.6367
Pa N
6 8
Direct
0.1250 0.7500 0.8750 Pa
0.2500 0.6250 0.3750 Pa
0.3750 0.2500 0.6250 Pa
0.6250 0.3750 0.2500 Pa
0.7500 0.8750 0.1250 Pa
0.8750 0.1250 0.7500 Pa
0.0000 0.3577 0.5000 N
0.0000 0.8577 0.5000 N
0.1423 0.1423 0.1423 N
0.3577 0.5000 0.0000 N
0.5000 0.0000 0.3577 N
0.5000 0.0000 0.8577 N
0.6423 0.6423 0.6423 N
0.8577 0.5000 0.0000 N
```

Computed properties:
**SG**: I-43d (220)

***

Of them, #i has the lowest stability.

***

#i
Here is a relaxed PaN2 crystal from Alexandria via LeMat-Bulk. Energies are from PBE-GGA.

```
PaN2
1.0
5.8471 0.0000 0.0000
0.0000 5.9227 0.0000
0.0000 0.0000 4.5810
Pa N
4 8
Direct
0.2471 0.0276 0.2500 Pa
0.2471 0.4724 0.7500 Pa
0.7529 0.5276 0.2500 Pa
0.7529 0.9724 0.7500 Pa
0.1089 0.0940 0.7500 N
0.1089 0.4060 0.2500 N
0.4710 0.7500 0.0000 N
0.4710 0.7500 0.5000 N
0.5290 0.2500 0.0000 N
0.5290 0.2500 0.5000 N
0.8911 0.5940 0.7500 N
0.8911 0.9060 0.2500 N
```

Computed properties:
**SG**: Pbcm (57)

***

#ii
Here is a relaxed PaN2 crystal from Alexandria via LeMat-Bulk. Energies are from PBE-GGA.

```
PaN2
1.0
3.4125 0.0000 0.0000
0.0000 3.4125 0.0000
0.0000 0.0000 6.1584
Pa N
2 4
Direct
0.0000 0.0000 0.0000 Pa
0.5000 0.5000 0.5000 Pa
0.0000 0.0000 0.3863 N
0.0000 0.0000 0.6137 N
0.5000 0.5000 0.1137 N
0.5000 0.5000 0.8863 N
```

Computed properties:
**SG**: I4/mmm (139)

***

Of them, #ii has the lowest stability.